Compound: RbVAsO6
Source: Alexandria via LeMat-Bulk
Functional: GGA+U
Structure: relaxed

Calculated values
calculated total energy: -6.1462 eV/atom
size of the total moment: 1.1 μB per cell

```
data_RbVAsO6
_symmetry_space_group_name_H-M 'P 3 1 2'
_symmetry_Int_Tables_number 149
_cell_length_a 5.0927
_cell_length_b 5.0927
_cell_length_c 6.2862
_cell_angle_alpha 90.00
_cell_angle_beta 90.00
_cell_angle_gamma 120.00
loop_
_symmetry_equiv_pos_as_xyz
'x,y,z'
'-y,x-y,z'
'-x+y,-x,z'
'-y,-x,-z'
'-x+y,y,-z'
'x,x-y,-z'
loop_
_atom_site_label
_atom_site_fract_x
_atom_site_fract_y
_atom_site_fract_z
_atom_site_occupancy
Rb1 0.0000 0.0000 0.0000 1
V1 0.3333 0.6667 0.5000 1
As1 0.6667 0.3333 0.5000 1
O1 0.3988 0.0061 0.6658 1
```